First-principles (PBE-GGA) data for a geometry-optimized LuNbCoGe structure, as listed in the Open Quantum Materials Database.

The structure belongs to space group F-43m (No. 216); the cell edges are 6.468, 6.468 and 6.468 Å and the angles 90.00°, 90.00° and 90.00°. Symmetry generates all atoms from Lu at (0.000, 0.000, 0.000), Nb at (0.250, 0.250, 0.250), Co at (0.250, 0.250, 0.750) and Ge at (0.000, 0.000, 0.500).

The energy relative to the lowest polymorph listed for this composition is 0 meV/atom.